# 1
The following is a DFT calculation (PBE) of a geometry-optimized NdScGa structure.

Cell: 7.735 8.789 8.896 Å, 119.60 115.77 90.00°
Fractional positions:
Ga (0.087, 0.833, 0.667)
Ga (0.087, 0.333, 0.667)
Ga (0.420, 0.167, 0.333)
Ga (0.420, 0.667, 0.333)
Ga (0.753, 0.250, 0.999)
Ga (0.754, 0.750, 0.001)
Nd (0.351, 0.250, 0.000)
Nd (0.351, 0.750, 0.000)
Nd (0.156, 0.951, 0.403)
Nd (0.155, 0.451, 0.402)
Nd (0.753, 0.049, 0.597)
Nd (0.753, 0.549, 0.598)
Sc (0.496, 0.372, 0.743)
Sc (0.496, 0.871, 0.743)
Sc (0.010, 0.500, 0.000)
Sc (0.753, 0.129, 0.257)
Sc (0.753, 0.628, 0.257)
Sc (0.010, 0.000, 0.000)

Summary:
- formation energy (eV per formula unit) = -1.3

***

# 2
The following is a DFT calculation (PBE) of a geometry-optimized ScPOs2 structure.

Cell: 4.426 4.426 4.426 Å, 60.00 60.00 60.00°
Fractional positions:
Sc (0.250, 0.250, 0.250)
Os (0.000, 0.000, 0.000)
Os (0.750, 0.750, 0.750)
P (0.500, 0.500, 0.500)

Summary:
- formation energy (eV per formula unit) = 0.9

***

# 3
The following is a DFT calculation (PBE) of a geometry-optimized UP2Rh2 structure.

Cell: 6.184 6.184 6.155 Å, 112.83 112.83 102.77°
Fractional positions:
Rh (0.765, 0.513, 0.527)
Rh (0.235, 0.487, 0.473)
Rh (0.487, 0.235, 0.973)
Rh (0.513, 0.765, 0.027)
U (0.125, 0.875, 0.250)
U (0.875, 0.125, 0.750)
P (0.580, 0.420, 0.750)
P (0.831, 0.169, 0.250)
P (0.169, 0.831, 0.750)
P (0.420, 0.580, 0.250)

Summary:
- formation energy (eV per formula unit) = -3.1